## A
This record from the Open Quantum Materials Database describes an optimized crystal structure of KHfSc. The functional is PBE.

The space group is F-43m (No. 216) and the conventional cell measures 7.698, 7.698 and 7.698 Å, with angles of 90.00, 90.00 and 90.00 degrees. The inequivalent atoms are K at (0.000, 0.000, 0.000), Hf at (0.000, 0.000, 0.500) and Sc at (0.250, 0.250, 0.750).

***

## B
This record from the Open Quantum Materials Database describes an optimized crystal structure of KHfSc. The functional is PBE.

The space group is F-43m (No. 216) and the conventional cell measures 7.289, 7.289 and 7.289 Å, with angles of 90.00, 90.00 and 90.00 degrees. The inequivalent atoms are K at (0.000, 0.000, 0.000), Hf at (0.250, 0.250, 0.750) and Sc at (0.250, 0.250, 0.250).

***

Stability ranking, top entry: A; the second entry is 273 meV/atom less favorable.